## i
Computed, not measured: crystalline PmHfAs at its relaxed geometry at the PBE-GGA level of DFT.

```
data_PmHfAs
_cell_length_a 7.0030
_cell_length_b 7.0030
_cell_length_c 7.0030
_cell_angle_alpha 90.00
_cell_angle_beta 90.00
_cell_angle_gamma 90.00
_space_group_name_H-M_alt 'F -4 3 m'
_space_group_IT_number 216
_space_group_name_Hall 'F -4 2 3'
loop_
_atom_site_label
_atom_site_type_symbol
_atom_site_fract_x
_atom_site_fract_y
_atom_site_fract_z
_atom_site_occupancy
Pm1 Pm 0.0000 0.0000 0.0000 1
Hf1 Hf 0.2500 0.2500 0.2500 1
As1 As 0.2500 0.2500 0.7500 1
```

=====

## ii
Computed, not measured: crystalline PmHfAs at its relaxed geometry at the PBE-GGA level of DFT.

```
data_PmHfAs
_cell_length_a 6.6670
_cell_length_b 6.6670
_cell_length_c 6.6670
_cell_angle_alpha 90.00
_cell_angle_beta 90.00
_cell_angle_gamma 90.00
_space_group_name_H-M_alt 'F -4 3 m'
_space_group_IT_number 216
_space_group_name_Hall 'F -4 2 3'
loop_
_atom_site_label
_atom_site_type_symbol
_atom_site_fract_x
_atom_site_fract_y
_atom_site_fract_z
_atom_site_occupancy
Pm1 Pm 0.0000 0.0000 0.0000 1
Hf1 Hf 0.0000 0.0000 0.5000 1
As1 As 0.2500 0.2500 0.7500 1
```

=====

Which structure is the least stable? The one labeled i.

=====

## i
Computed, not measured: crystalline HfZr2As4Pt4 at its relaxed geometry at the PBE-GGA level of DFT.

```
data_HfZr2As4Pt4
_cell_length_a 6.1857
_cell_length_b 6.1857
_cell_length_c 12.1034
_cell_angle_alpha 90.00
_cell_angle_beta 90.00
_cell_angle_gamma 90.00
_space_group_name_H-M_alt 'I -4 2 m'
_space_group_IT_number 121
_space_group_name_Hall 'I -4 2'
loop_
_atom_site_label
_atom_site_type_symbol
_atom_site_fract_x
_atom_site_fract_y
_atom_site_fract_z
_atom_site_occupancy
Hf1 Hf 0.0000 0.0000 0.0000 1
Zr1 Zr 0.0000 0.5000 0.2500 1
As1 As 0.0000 0.0000 0.2608 1
As2 As 0.0000 0.5000 0.0000 1
Pt1 Pt 0.2416 0.2416 0.8733 1
```

=====

## ii
Computed, not measured: crystalline HfZr2As4Pt4 at its relaxed geometry at the PBE-GGA level of DFT.

```
data_HfZr2As4Pt4
_cell_length_a 6.6320
_cell_length_b 3.9624
_cell_length_c 7.7078
_cell_angle_alpha 90.00
_cell_angle_beta 90.09
_cell_angle_gamma 90.00
_space_group_name_H-M_alt 'P 1 m 1'
_space_group_IT_number 6
loop_
_space_group_symop_operation_xyz
'x,y,z'
'x,-y,z'
loop_
_atom_site_label
_atom_site_type_symbol
_atom_site_fract_x
_atom_site_fract_y
_atom_site_fract_z
_atom_site_occupancy
Hf1 Hf 0.0000 0.0000 0.0000 1
Zr1 Zr 0.4385 0.5000 0.4997 1
Zr2 Zr 0.9311 0.5000 0.6285 1
As1 As 0.2187 0.0000 0.6838 1
As2 As 0.2581 0.5000 0.1937 1
As3 As 0.7040 0.0000 0.4221 1
As4 As 0.7059 0.5000 0.9463 1
Pt1 Pt 0.1125 0.0000 0.3648 1
Pt2 Pt 0.3050 0.5000 0.8815 1
Pt3 Pt 0.6291 0.0000 0.7534 1
Pt4 Pt 0.8401 0.5000 0.2481 1
```

=====

Which structure is the least stable? The one labeled i.

=====

## i
Computed, not measured: crystalline HgAs at its relaxed geometry at the PBE-GGA level of DFT.

```
data_HgAs
_cell_length_a 5.6755
_cell_length_b 5.6755
_cell_length_c 5.6755
_cell_angle_alpha 90.00
_cell_angle_beta 90.00
_cell_angle_gamma 90.00
_space_group_name_H-M_alt 'F m -3 m'
_space_group_IT_number 225
_space_group_name_Hall '-F 4 2 3'
loop_
_atom_site_label
_atom_site_type_symbol
_atom_site_fract_x
_atom_site_fract_y
_atom_site_fract_z
_atom_site_occupancy
Hg1 Hg 0.0000 0.0000 0.0000 1
As1 As 0.0000 0.0000 0.5000 1
```

=====

## ii
Computed, not measured: crystalline HgAs at its relaxed geometry at the PBE-GGA level of DFT.

```
data_HgAs
_cell_length_a 5.6305
_cell_length_b 4.6714
_cell_length_c 6.8472
_cell_angle_alpha 90.00
_cell_angle_beta 90.00
_cell_angle_gamma 90.00
_space_group_name_H-M_alt 'P m m a'
_space_group_IT_number 51
loop_
_space_group_symop_operation_xyz
'x,y,z'
'-x,-y,-z'
'-x+1/2,-y,z'
'x+1/2,y,-z'
'x+1/2,-y,-z'
'-x+1/2,y,z'
'-x,y,-z'
'x,-y,z'
loop_
_atom_site_label
_atom_site_type_symbol
_atom_site_fract_x
_atom_site_fract_y
_atom_site_fract_z
_atom_site_occupancy
Hg1 Hg 0.0000 0.0000 0.0000 1
Hg2 Hg 0.2500 0.5000 0.2498 1
As1 As 0.2500 0.0000 0.5280 1
As2 As 0.2500 0.5000 0.7260 1
```

=====

Which structure is the least stable? The one labeled i.